# 1
VASP calculation (PBE) on a geometry-optimized Nd2Ge3Pd structure.

```
data_Nd2Ge3Pd
_chemical_formula_sum 'Nd2 Ge3 Pd1'
_symmetry_space_group_name_H-M 'P m m 2'
_symmetry_Int_Tables_number 25
_cell_length_a 4.153
_cell_length_b 4.406
_cell_length_c 7.343
_cell_angle_alpha 90.00
_cell_angle_beta 90.00
_cell_angle_gamma 90.00
loop_
_symmetry_equiv_pos_as_xyz
'x,y,z'
'-x,-y,z'
'-x,y,z'
'x,-y,z'
loop_
_atom_site_label
_atom_site_fract_x
_atom_site_fract_y
_atom_site_fract_z
_atom_site_occupancy
Nd1 0.000 0.000 0.000 1
Nd2 0.000 0.500 0.492 1
Ge1 0.500 0.000 0.331 1
Ge2 0.500 0.000 0.672 1
Ge3 0.500 0.500 0.158 1
Pd1 0.500 0.500 0.823 1
```

Output
Electronic total energy, eV/atom: -5.582
Formation energy from the elements, eV per formula unit: -4.91
Polymorph energy (0 for the lowest one), meV per atom: 31

# 2
VASP calculation (PBE) on a geometry-optimized BeCdSe structure.

```
data_BeCdSe
_chemical_formula_sum 'Be4 Cd4 Se4'
_symmetry_space_group_name_H-M 'F -4 3 m'
_symmetry_Int_Tables_number 216
_symmetry_space_group_name_Hall 'F -4 2 3'
_cell_length_a 6.413
_cell_length_b 6.413
_cell_length_c 6.413
_cell_angle_alpha 90.00
_cell_angle_beta 90.00
_cell_angle_gamma 90.00
loop_
_atom_site_label
_atom_site_fract_x
_atom_site_fract_y
_atom_site_fract_z
_atom_site_occupancy
Be1 0.000 0.000 0.000 1
Cd1 0.250 0.250 0.250 1
Se1 0.000 0.000 0.500 1
```

Output
Electronic total energy, eV/atom: -2.166
Formation energy without anion corrections, eV per atom: 0.543
Polymorph energy (0 for the lowest one), meV per atom: 768

# 3
VASP calculation (PBE) on a geometry-optimized Pr5NdIr4 structure.

```
data_Pr5NdIr4
_chemical_formula_sum 'Pr10 Nd2 Ir8'
_symmetry_space_group_name_H-M 'C 1 2/m 1'
_symmetry_Int_Tables_number 12
_cell_length_a 18.844
_cell_length_b 4.360
_cell_length_c 7.726
_cell_angle_alpha 90.00
_cell_angle_beta 114.11
_cell_angle_gamma 90.00
loop_
_symmetry_equiv_pos_as_xyz
'x,y,z'
'-x,-y,-z'
'-x,y,-z'
'x,-y,z'
'x+1/2,y+1/2,z'
'-x+1/2,-y+1/2,-z'
'-x+1/2,y+1/2,-z'
'x+1/2,-y+1/2,z'
loop_
_atom_site_label
_atom_site_fract_x
_atom_site_fract_y
_atom_site_fract_z
_atom_site_occupancy
Pr1 0.000 0.000 0.000 1
Pr2 0.165 0.500 0.423 1
Pr3 0.165 0.500 0.907 1
Nd1 0.000 0.000 0.500 1
Ir1 0.000 0.500 0.246 1
Ir2 0.198 0.000 0.698 1
```

Output
Electronic total energy, eV/atom: -6.915
Formation energy from the elements, eV per formula unit: -5.04

# 4
VASP calculation (PBE) on a geometry-optimized Na2HgAsI6 structure.

```
data_Na2HgAsI6
_chemical_formula_sum 'Na2 Hg1 As1 I6'
_symmetry_space_group_name_H-M 'P 1'
_symmetry_Int_Tables_number 1
_cell_length_a 7.853
_cell_length_b 7.952
_cell_length_c 8.371
_cell_angle_alpha 62.87
_cell_angle_beta 63.51
_cell_angle_gamma 60.61
loop_
_symmetry_equiv_pos_as_xyz
'x,y,z'
loop_
_atom_site_label
_atom_site_fract_x
_atom_site_fract_y
_atom_site_fract_z
_atom_site_occupancy
Na1 0.000 0.000 0.000 1
Na2 0.484 0.491 0.526 1
Hg1 0.190 0.190 0.431 1
As1 0.685 0.683 0.947 1
I1 0.038 0.793 0.716 1
I2 0.319 0.583 0.192 1
I3 0.440 0.034 0.704 1
I4 0.583 0.907 0.188 1
I5 0.791 0.435 0.722 1
I6 0.913 0.326 0.196 1
```

Output
Electronic total energy, eV/atom: -2.238
Formation energy without anion corrections, eV per atom: -0.549
Polymorph energy (0 for the lowest one), meV per atom: 0